Record 1
This record from the Alexandria database describes a relaxed structure of TmGa4Sn. The functional is PBE-GGA.

Summary:
The energy above the lowest structure with this stoichiometry is 0.47 eV/f.u. The value obtained for the raw total energy is -3.5697 eV/atom. The value obtained for the energy of formation from the pure elements is -0.84 eV/f.u. The crystal system is tetragonal. Its space group is P4/mmm.

```
6
Lattice="3.9671 0.0001 -0.0021 0.0000 3.9677 -0.0031 0.0045 0.0070 8.7602" Properties=species:S:1:pos:R:3 pbc="T T T"
Ga 1.9918 3.9627 6.5145
Ga 0.0061 1.9751 2.2077
Ga 1.9898 3.9592 2.2048
Ga 0.0082 1.9786 6.5168
Tm 1.9933 1.9798 8.7415
Sn 0.0081 3.9591 4.3606
```

=====

Record 2
This record from the Alexandria database describes a relaxed structure of Tm2GaSn4. The functional is PBE-GGA.

Summary:
The value obtained for the raw total energy is -4.3781 eV/atom. The value obtained for the energy of formation from the pure elements is -2.67 eV/f.u. The crystal system is tetragonal. Its space group is P-4m2.

```
7
Lattice="-1.2422 -1.3407 -3.9915 3.6039 -2.4907 -0.2849 -4.6256 -7.1315 3.8348" Properties=species:S:1:pos:R:3 pbc="T T T"
Sn -1.9882 -7.0888 2.9997
Sn -1.1319 -5.4815 -0.2208
Sn -1.4565 -1.9584 -1.3031
Sn -2.3128 -3.5657 1.9174
Ga 1.1809 -1.9157 -2.1382
Tm -4.1529 -6.1156 0.9323
Tm 0.7082 -2.9316 0.7643
```

=====

Repeat the second record exactly.
This record from the Alexandria database describes a relaxed structure of Tm2GaSn4. The functional is PBE-GGA.

Summary:
The value obtained for the raw total energy is -4.3781 eV/atom. The value obtained for the energy of formation from the pure elements is -2.67 eV/f.u. The crystal system is tetragonal. Its space group is P-4m2.

```
7
Lattice="-1.2422 -1.3407 -3.9915 3.6039 -2.4907 -0.2849 -4.6256 -7.1315 3.8348" Properties=species:S:1:pos:R:3 pbc="T T T"
Sn -1.9882 -7.0888 2.9997
Sn -1.1319 -5.4815 -0.2208
Sn -1.4565 -1.9584 -1.3031
Sn -2.3128 -3.5657 1.9174
Ga 1.1809 -1.9157 -2.1382
Tm -4.1529 -6.1156 0.9323
Tm 0.7082 -2.9316 0.7643
```